(1)
6
Lattice="3.082 0.000 0.000 0.000 3.082 0.000 0.000 0.000 11.185" Properties=species:S:1:pos:R:3 comment="Hf3InFe2 | the Alexandria database | PBE | optimized geometry" dft_energy_ev_per_atom=-8.502 crystal_system=tetragonal magnetic_moment_mub_per_fu=0.0 pbc="T T T"
Hf 0.000 0.000 0.000
Hf 0.000 0.000 3.194
Hf 0.000 0.000 7.990
In 1.541 1.541 5.592
Fe 1.541 1.541 1.603
Fe 1.541 1.541 9.582


(2)
14
Lattice="4.641 0.000 0.000 0.000 4.641 0.000 0.000 0.000 15.179" Properties=species:S:1:pos:R:3 comment="Hf4In2Fe | the Alexandria database | PBE | optimized geometry" dft_energy_ev_per_atom=-7.473 crystal_system=tetragonal magnetic_moment_mub_per_fu=0.0 pbc="T T T"
Hf 0.000 0.000 2.521
Hf 0.000 0.000 12.658
Hf 0.000 2.321 0.000
Hf 0.000 2.321 7.589
Hf 2.321 0.000 0.000
Hf 2.321 0.000 7.589
Hf 2.321 2.321 5.068
Hf 2.321 2.321 10.111
In 0.000 0.000 5.447
In 0.000 0.000 9.732
In 2.321 2.321 2.142
In 2.321 2.321 13.036
Fe 0.000 0.000 0.000
Fe 2.321 2.321 7.589


(3)
10
Lattice="6.917 0.000 0.000 0.000 6.917 0.000 0.000 0.000 4.212" Properties=species:S:1:pos:R:3 comment="Hf2In2Fe | the Alexandria database | PBE | optimized geometry" dft_energy_ev_per_atom=-6.545 crystal_system=tetragonal magnetic_moment_mub_per_fu=0.0 pbc="T T T"
Hf 1.155 2.303 0.000
Hf 2.303 5.762 0.000
Hf 4.614 1.155 0.000
Hf 5.762 4.614 0.000
In 0.987 4.446 2.106
In 2.471 0.987 2.106
In 4.446 5.930 2.106
In 5.930 2.471 2.106
Fe 0.000 0.000 2.106
Fe 3.459 3.459 2.106


(4)
16
Lattice="7.127 0.000 0.000 0.000 7.127 0.000 0.000 0.000 5.643" Properties=species:S:1:pos:R:3 comment="HfInFe2 | the Alexandria database | PBE | optimized geometry" dft_energy_ev_per_atom=-6.857 crystal_system=tetragonal magnetic_moment_mub_per_fu=3.7 pbc="T T T"
Hf 0.000 0.000 0.000
Hf 0.000 3.564 1.411
Hf 3.564 0.000 4.232
Hf 3.564 3.564 2.822
In 0.000 0.000 2.822
In 0.000 3.564 4.232
In 3.564 0.000 1.411
In 3.564 3.564 0.000
Fe 1.744 1.782 0.705
Fe 1.782 5.308 2.116
Fe 1.782 5.383 4.938
Fe 1.819 1.782 3.527
Fe 5.308 5.345 3.527
Fe 5.345 1.744 4.938
Fe 5.345 1.819 2.116
Fe 5.383 5.345 0.705